Here is NpTcC after structural relaxation from the Alexandria database. Energies are from PBE.

Summary:
- DOS(E_F): 1.44 states/eV per atom
- Relative energy among the computed polymorphs: 0.1676 eV per atom
- DFT total energy: -10.435 eV/atom
- Calculated formation energy: 1.226 eV per formula unit
- Crystal system: tetragonal

Cell lengths 2.897, 2.897, 5.448 Å; angles 105.42, 105.42, 90.00 degrees
Site moments in Bohr magnetons follow the coordinates.
Atoms (fractional coordinates):
Np  0.010  0.010  0.021  3.81
C  0.707  0.707  0.415  -0.05
Tc  0.282  0.282  0.565  -0.06